# 1
DFT (SCAN) results for a crystal of CrAgOs2 relaxed with PBEsol.

```
CrAgOs2
1.0
1.346 0.777 8.910
-1.346 0.777 8.910
0.000 -1.554 8.910
Cr Ag Os
1 1 2
direct
0.000 0.000 0.000
0.500 0.500 0.500
0.259 0.259 0.259
0.741 0.741 0.741
```

The formation energy comes out at 0.276 eV/atom. The calculation puts the density of states at the Fermi level at 3.21 states/eV per cell. The distance to the lowest polymorph of the same formula is 0 meV/atom.

---

# 2
DFT (SCAN) results for a crystal of Al4Br relaxed with PBEsol.

```
Al4Br
1.0
-1.967 1.967 6.594
1.967 -1.967 6.594
1.967 1.967 -6.594
Al Br
4 1
direct
0.101 0.101 0.000
0.250 0.750 0.500
0.750 0.250 0.500
0.899 0.899 0.000
0.500 0.500 0.000
```

For the uncorrected formation energy, the calculation gives 0.1975 eV/atom. The calculation puts the density of states at the Fermi level at 2.43 states/eV per cell.

---

# 3
DFT (SCAN) results for a crystal of LiTaZn2 relaxed with PBEsol.

```
LiTaZn2
1.0
5.075 -1.279 0.000
5.075 1.279 0.000
-1.421 0.000 4.703
Li Ta Zn
1 1 2
direct
0.000 0.000 0.000
0.207 0.207 0.606
0.460 0.460 0.492
0.751 0.751 0.124
```

The formation energy comes out at -0.010 eV/atom. The calculation puts the density of states at the Fermi level at 1.60 states/eV per cell. The distance to the lowest polymorph of the same formula is 106 meV/atom.

---

# 4
DFT (SCAN) results for a crystal of Be2InSb relaxed with PBEsol.

```
Be2InSb
1.0
3.219 -1.877 0.000
3.219 1.877 0.000
-2.244 0.000 5.936
Be In Sb
2 1 1
direct
0.241 0.241 0.221
0.759 0.759 0.779
0.000 0.000 0.500
0.500 0.500 0.000
```

For the uncorrected formation energy, the calculation gives 0.4607 eV/atom. The calculation puts the density of states at the Fermi level at 1.49 states/eV per cell. The distance to the lowest polymorph of the same formula is 13 meV/atom.

---

# 5
DFT (SCAN) results for a crystal of SrTcAg2Se relaxed with PBEsol.

```
SrTcAg2Se
1.0
5.334 0.000 0.000
0.000 5.334 0.000
0.000 0.000 5.445
Sr Tc Ag Se
1 1 2 1
direct
0.000 0.000 0.000
0.500 0.500 0.500
0.000 0.500 0.000
0.500 0.000 0.000
0.000 0.000 0.500
```

For the uncorrected formation energy, the calculation gives 1.3357 eV/atom. The calculation puts the density of states at the Fermi level at 2.49 states/eV per cell.

---

# 6
DFT (SCAN) results for a crystal of In2HgCl relaxed with PBEsol.

```
In2HgCl
1.0
0.000 3.663 3.663
3.663 0.000 3.663
3.663 3.663 0.000
In Hg Cl
2 1 1
direct
0.250 0.250 0.250
0.750 0.750 0.750
0.000 0.000 0.000
0.500 0.500 0.500
```

For the uncorrected formation energy, the calculation gives -0.2479 eV/atom. The calculation puts the density of states at the Fermi level at 2.83 states/eV per cell. The distance to the lowest polymorph of the same formula is 175 meV/atom.

---

# 7
DFT (SCAN) results for a crystal of CaIrPb relaxed with PBEsol.

```
CaIrPb
1.0
4.738 0.000 0.000
-2.369 4.103 0.000
0.000 0.000 3.324
Ca Ir Pb
1 1 1
direct
0.000 0.000 0.000
0.333 0.667 0.500
0.667 0.333 0.500
```

The formation energy comes out at -0.268 eV/atom. The calculation puts the density of states at the Fermi level at 1.27 states/eV per cell.

---

# 8
DFT (SCAN) results for a crystal of KRbMn3 relaxed with PBEsol.

```
KRbMn3
1.0
5.820 0.000 0.000
0.000 5.820 0.000
0.000 0.000 5.820
K Rb Mn
1 1 3
direct
0.000 0.000 0.000
0.500 0.500 0.500
0.000 0.000 0.500
0.000 0.500 0.000
0.500 0.000 0.000
```

The formation energy comes out at 1.420 eV/atom. The calculation puts the density of states at the Fermi level at 9.00 states/eV per cell.